## CoAg2Sb (PBE-GGA)

Data for a relaxed CoAg2Sb crystal.

The structure belongs to space group Immm (No. 71); the cell edges are 3.068, 4.181 and 11.427 Å and the angles 90.00°, 90.00° and 90.00°. Symmetry generates all atoms from Co at (0.000, 0.000, 0.000), Ag at (0.000, 0.500, 0.301) and Sb at (0.000, 0.000, 0.500).

The value obtained for the spin magnetization is 0.99 μB per formula unit. Its formation energy (no corrections) is 0.24 eV/atom. Its volume is 18.3 Å³/atom. The mass density comes out at 8.98 g cm⁻³.